1.
A plane-wave DFT calculation with meta-GGA SCAN was carried out for Sr4YTe at its PBEsol-relaxed geometry.

Computed properties:
* total magnetization: 0.19 μB/atom

a b c (Å): 10.0015 10.0015 10.0015
angles (deg): 90.00 90.00 90.00
With the nearest neighbours (Å) after each atom.
Space group F-43m (No. 216)
One atom of each set of equivalent atoms:
Sr 0.1254 0.1254 0.1254 [16 per cell]  6 Sr 3.52-3.55
Y 0.0000 0.0000 0.5000 [4 per cell]  12 Sr 4.15, 4 Te 4.33
Te 0.2500 0.2500 0.7500 [4 per cell]  12 Sr 4.15, 4 Y 4.33


2.
A plane-wave DFT calculation with meta-GGA SCAN was carried out for RbAgS2 at its PBEsol-relaxed geometry.

Computed properties:
* energy above the most stable polymorph in this dataset: 225 meV/atom
* total magnetization: 0.50 μB/atom

a b c (Å): 5.6675 5.6675 11.2399
angles (deg): 90.00 90.00 120.00
With the nearest neighbours (Å) after each atom.
Space group R-3m (No. 166, hexagonal axes)
One atom of each set of equivalent atoms:
Rb 0.0000 0.0000 0.0000 [3 per cell]  8 S 3.30-3.32
Ag 0.0000 0.0000 0.5000 [3 per cell]  2 S 2.30
S 0.0000 0.0000 0.2957 [6 per cell]  1 Ag 2.30


3.
A plane-wave DFT calculation with meta-GGA SCAN was carried out for CsSm2Ti2NbO10 at its PBEsol-relaxed geometry.

Computed properties:
* total magnetization: 0.00 μB/atom

a b c (Å): 5.4401 5.4021 15.3152
angles (deg): 90.00 90.51 90.00
With the nearest neighbours (Å) after each atom.
Space group Cm (No. 8)
One atom of each set of equivalent atoms:
Cs 0.0000 0.0000 0.0000 [2 per cell]  8 O 3.07-3.28
Sm 0.4671 0.5000 0.3868 [2 per cell]  5 O 2.39-2.48
Sm 0.4757 0.5000 0.6683 [2 per cell]  5 O 2.33-2.54
Ti 0.0000 0.5000 0.5155 [2 per cell]  6 O 1.85-1.99
Ti 0.4932 0.0000 0.7945 [2 per cell]  1 O 1.70
Nb 0.0020 0.5000 0.2351 [2 per cell]  3 O 1.79-1.97
O 0.0012 0.5000 0.1183 [2 per cell]  1 Nb 1.79
O 0.0175 0.5000 0.6364 [2 per cell]  1 Ti 1.85
O 0.0275 0.5000 0.3863 [2 per cell]  1 Ti 1.99
O 0.2417 0.2470 0.7586 [4 per cell]  2 Ti 1.98-2.00
O 0.2624 0.2539 0.2700 [4 per cell]  2 Nb 1.97-2.01
O 0.2777 0.2612 0.5052 [4 per cell]  2 Ti 1.86-1.99
O 0.4981 0.0000 0.9053 [2 per cell]  1 Ti 1.70


The records above give, respectively, raw formation energy values of 0.2329 -0.1827 -3.2637 eV per atom.
The records above give, respectively, DOS(E_F) values of 0.6345 0.1524 0.0000 states/eV per atom.